Record 1
## LaEuSbBr (PBE-GGA)

Data for LaEuSbBr after structural relaxation.

Results
**Final energy**: -6.491 eV/atom
**Fermi-level density of states**: 1.67 states/eV per cell
**Energy relative to the elements, uncorrected**: -1.24 eV per atom
**Space group**: No. 216

Lattice parameters (Å, degrees): 5.519 5.519 5.519 60.00 60.00 60.00
Atoms (fractional coordinates):
La (0.000, 0.000, 0.000)
Eu (0.500, 0.500, 0.500)
Sb (0.750, 0.750, 0.750)
Br (0.250, 0.250, 0.250)



Record 2
## GaCuGe (PBE-GGA)

Data for GaCuGe after structural relaxation.

Results
**Final energy**: -3.838 eV/atom
**Fermi-level density of states**: 1.86 states/eV per cell
**ΔE_f**: 0.0756 eV per atom
**Space group**: No. 1

Lattice parameters (Å, degrees): 3.857 4.710 6.322 77.71 72.39 66.63
Atoms (fractional coordinates):
Ga (0.000, 0.000, 0.000)
Ga (0.235, 0.072, 0.445)
Cu (0.685, 0.880, 0.746)
Cu (0.976, 0.655, 0.379)
Ge (0.418, 0.473, 0.674)
Ge (0.652, 0.554, 0.126)



Record 3
## TbBeAl3Pd (PBE-GGA)

Data for TbBeAl3Pd after structural relaxation.

Results
**Final energy**: -4.406 eV/atom
**Fermi-level density of states**: 4.90 states/eV per cell
**ΔE_f**: -0.2763 eV per atom
**Space group**: No. 63

Lattice parameters (Å, degrees): 6.648 6.648 5.944 90.00 90.00 126.12
Atoms (fractional coordinates):
Tb (0.222, 0.778, 0.750)
Tb (0.778, 0.222, 0.250)
Be (0.444, 0.556, 0.750)
Be (0.556, 0.444, 0.250)
Al (0.220, 0.220, 0.000)
Al (0.220, 0.220, 0.500)
Al (0.356, 0.644, 0.250)
Al (0.644, 0.356, 0.750)
Al (0.780, 0.780, 0.000)
Al (0.780, 0.780, 0.500)
Pd (0.143, 0.857, 0.250)
Pd (0.857, 0.143, 0.750)



Record 4
## Ac3Zn8Sn3 (PBE-GGA)

Data for Ac3Zn8Sn3 after structural relaxation.

Results
**Final energy**: -2.830 eV/atom
**Fermi-level density of states**: 6.51 states/eV per cell
**ΔE_f**: -0.3637 eV per atom
**Space group**: No. 12

Lattice parameters (Å, degrees): 8.794 8.794 10.202 124.21 124.21 30.68
Atoms (fractional coordinates):
Ac (0.000, 0.000, 0.000)
Ac (0.314, 0.314, 0.327)
Ac (0.686, 0.686, 0.673)
Zn (0.143, 0.143, 0.866)
Zn (0.145, 0.145, 0.407)
Zn (0.336, 0.336, 0.686)
Zn (0.497, 0.497, 0.714)
Zn (0.503, 0.503, 0.286)
Zn (0.664, 0.664, 0.314)
Zn (0.855, 0.855, 0.593)
Zn (0.857, 0.857, 0.134)
Sn (0.000, 0.000, 0.500)
Sn (0.338, 0.338, 0.964)
Sn (0.662, 0.662, 0.036)



Record 5
## LiCrFe2 (PBE-GGA)

Data for LiCrFe2 after structural relaxation.

Results
**Final energy**: -6.794 eV/atom
**Fermi-level density of states**: 4.34 states/eV per cell
**ΔE_f**: 0.3214 eV per atom
**Energy above the lowest structure with this stoichiometry**: 0.52 eV per formula unit
**Space group**: No. 119

Lattice parameters (Å, degrees): 4.524 4.524 4.524 134.60 134.60 66.15
Atoms (fractional coordinates):
Li (0.000, 0.000, 0.000)
Cr (0.250, 0.750, 0.500)
Fe (0.500, 0.500, 0.000)
Fe (0.750, 0.250, 0.500)



Record 6
## Sm4DyCd (PBE-GGA)

Data for Sm4DyCd after structural relaxation.

Results
**Final energy**: -4.061 eV/atom
**Fermi-level density of states**: 16.13 states/eV per cell
**ΔE_f**: 0.0050 eV per atom
**Energy above the lowest structure with this stoichiometry**: 0.59 eV per formula unit
**Space group**: No. 15

Lattice parameters (Å, degrees): 8.430 8.430 6.379 100.03 100.03 116.67
Atoms (fractional coordinates):
Sm (0.093, 0.711, 0.955)
Sm (0.165, 0.406, 0.624)
Sm (0.289, 0.907, 0.545)
Sm (0.406, 0.165, 0.124)
Sm (0.594, 0.835, 0.876)
Sm (0.711, 0.093, 0.455)
Sm (0.835, 0.594, 0.376)
Sm (0.907, 0.289, 0.045)
Dy (0.412, 0.588, 0.250)
Dy (0.588, 0.412, 0.750)
Cd (0.001, 0.999, 0.250)
Cd (0.999, 0.001, 0.750)



Record 7
## LiNiCl (PBE-GGA)

Data for LiNiCl after structural relaxation.

Results
**Final energy**: -3.368 eV/atom
**Fermi-level density of states**: 1.96 states/eV per cell
**Energy relative to the elements, uncorrected**: -0.19 eV per atom
**Energy above the lowest structure with this stoichiometry**: 1.61 eV per formula unit
**Space group**: No. 107

Lattice parameters (Å, degrees): 4.713 4.713 4.713 139.90 139.90 58.01
Atoms (fractional coordinates):
Li (0.000, 0.000, 0.000)
Ni (0.349, 0.349, 0.000)
Cl (0.615, 0.615, 0.000)



Record 8
## CrSb2Pb (PBE-GGA)

Data for CrSb2Pb after structural relaxation.

Results
**Final energy**: -5.133 eV/atom
**Fermi-level density of states**: 2.13 states/eV per cell
**Energy relative to the elements, uncorrected**: 0.26 eV per atom
**Space group**: No. 10

Lattice parameters (Å, degrees): 4.442 4.110 6.286 90.00 110.68 90.00
Atoms (fractional coordinates):
Cr (0.000, 0.000, 0.000)
Sb (0.217, 0.500, 0.792)
Sb (0.783, 0.500, 0.208)
Pb (0.500, 0.000, 0.500)